Entry 1:
Below is a relaxed Cd2MoPb crystal, with properties calculated at the PBE level.

## Properties
SG	P2/m, No. 10
formation energy from the elements	2.16	eV/f.u.

Unit cell a=3.0041 b=5.1996 c=5.7426 alpha=90.00 beta=104.78 gamma=90.00
Closest atoms and distances in Å follow each position.
Atoms (fractional coordinates):
1 Cd 0.1916 0.0000 0.2718  5 Cd 2.80-3.12, 2 Mo 3.03
2 Cd 0.8084 0.0000 0.7282  5 Cd 2.80-3.12, 2 Mo 3.03
3 Mo 0.0000 0.5000 0.5000  2 Pb 2.88, 2 Mo 3.00, 4 Cd 3.03
4 Pb 0.5000 0.5000 0.0000  2 Mo 2.88, 2 Pb 3.00


Entry 2:
Below is a relaxed SmMgIn6 crystal, with properties calculated at the PBE level.

## Properties
SG	Cmmm, No. 65
formation energy from the elements	-1.60	eV/f.u.

Unit cell a=9.3975 b=9.5343 c=4.5538 alpha=90.00 beta=90.00 gamma=90.00
Closest atoms and distances in Å follow each position.
Atoms (fractional coordinates):
1 Sm 0.0000 0.0000 0.0000  12 In 3.33-3.35
2 Sm 0.5000 0.5000 0.0000  12 In 3.33-3.35
3 Mg 0.0000 0.5000 0.0000  12 In 3.21-3.35
4 Mg 0.5000 0.0000 0.0000  12 In 3.21-3.35
5 In 0.0000 0.2546 0.5000  8 In 3.26-3.44, 2 Mg 3.26, 2 Sm 3.33
6 In 0.0000 0.7454 0.5000  8 In 3.26-3.44, 2 Mg 3.26, 2 Sm 3.33
7 In 0.2410 0.5000 0.5000  2 Mg 3.21, 8 In 3.26-3.44, 2 Sm 3.33
8 In 0.2500 0.2500 0.0000  8 In 3.27-3.30, 2 Mg 3.35, 2 Sm 3.35
9 In 0.2500 0.7500 0.0000  8 In 3.27-3.30, 2 Mg 3.35, 2 Sm 3.35
10 In 0.2590 0.0000 0.5000  2 Mg 3.21, 8 In 3.26-3.44, 2 Sm 3.33
11 In 0.5000 0.2454 0.5000  8 In 3.26-3.44, 2 Mg 3.26, 2 Sm 3.33
12 In 0.5000 0.7546 0.5000  8 In 3.26-3.44, 2 Mg 3.26, 2 Sm 3.33
13 In 0.7410 0.0000 0.5000  2 Mg 3.21, 8 In 3.26-3.44, 2 Sm 3.33
14 In 0.7500 0.2500 0.0000  8 In 3.27-3.30, 2 Mg 3.35, 2 Sm 3.35
15 In 0.7500 0.7500 0.0000  8 In 3.27-3.30, 2 Mg 3.35, 2 Sm 3.35
16 In 0.7590 0.5000 0.5000  2 Mg 3.21, 8 In 3.26-3.44, 2 Sm 3.33


Entry 3:
Below is a relaxed Ba2YMg crystal, with properties calculated at the PBE level.

## Properties
SG	F-43m, No. 216
formation energy from the elements	0.87	eV/f.u.

Unit cell a=8.6809 b=8.6809 c=8.6809 alpha=90.00 beta=90.00 gamma=90.00
Closest atoms and distances in Å follow each position.
Atoms (fractional coordinates):
1 Ba 0.0000 0.0000 0.0000  4 Ba 3.76, 4 Y 3.76
2 Ba 0.0000 0.5000 0.5000  4 Ba 3.76, 4 Y 3.76
3 Ba 0.2500 0.2500 0.2500  4 Mg 3.76, 4 Ba 3.76
4 Ba 0.2500 0.7500 0.7500  4 Ba 3.76, 4 Mg 3.76
5 Ba 0.5000 0.0000 0.5000  4 Ba 3.76, 4 Y 3.76
6 Ba 0.5000 0.5000 0.0000  4 Ba 3.76, 4 Y 3.76
7 Ba 0.7500 0.2500 0.7500  4 Ba 3.76, 4 Mg 3.76
8 Ba 0.7500 0.7500 0.2500  4 Ba 3.76, 4 Mg 3.76
9 Y 0.2500 0.2500 0.7500  4 Ba 3.76, 4 Mg 3.76
10 Y 0.2500 0.7500 0.2500  4 Ba 3.76, 4 Mg 3.76
11 Y 0.7500 0.2500 0.2500  4 Ba 3.76, 4 Mg 3.76
12 Y 0.7500 0.7500 0.7500  4 Ba 3.76, 4 Mg 3.76
13 Mg 0.0000 0.0000 0.5000  4 Y 3.76, 4 Ba 3.76
14 Mg 0.0000 0.5000 0.0000  4 Y 3.76, 4 Ba 3.76
15 Mg 0.5000 0.0000 0.0000  4 Y 3.76, 4 Ba 3.76
16 Mg 0.5000 0.5000 0.5000  4 Y 3.76, 4 Ba 3.76


Entry 4:
Below is a relaxed Na10B13C7 crystal, with properties calculated at the PBE level.

## Properties
SG	P1, No. 1
excess energy over the best structure of this formula in the dataset	101	kJ/mol of formula units
formation energy from the elements	3.61	eV/f.u.

Unit cell a=5.0151 b=7.5964 c=8.9930 alpha=93.35 beta=106.16 gamma=109.27
Closest atoms and distances in Å follow each position.
Atoms (fractional coordinates):
1 Na 0.0000 0.0000 0.0000  7 B 2.64-2.73, 5 C 2.69-2.70, 6 Na 2.86-2.90
2 Na 0.0963 0.6979 0.4970  8 B 2.67-2.76, 4 C 2.69-2.73, 6 Na 2.87-2.89
3 Na 0.1998 0.3993 0.0026  8 B 2.63-2.74, 4 C 2.69-2.72, 6 Na 2.86-2.89
4 Na 0.2992 0.1000 0.5007  8 B 2.66-2.77, 4 C 2.69-2.71, 6 Na 2.87-2.90
5 Na 0.3979 0.7974 0.0003  7 B 2.65-2.74, 5 C 2.68-2.71, 6 Na 2.86-2.90
6 Na 0.4959 0.4992 0.4967  8 B 2.63-2.77, 4 C 2.68-2.73, 6 Na 2.86-2.90
7 Na 0.5983 0.1989 0.0005  9 B 2.69-2.78, 3 C 2.70-2.72, 6 Na 2.88-2.89
8 Na 0.6988 0.8983 0.4991  7 B 2.65-2.73, 5 C 2.68-2.70, 6 Na 2.86-2.90
9 Na 0.8005 0.6008 0.0025  8 B 2.66-2.76, 4 C 2.69-2.73, 6 Na 2.87-2.89
10 Na 0.8970 0.2979 0.4967  8 B 2.68-2.74, 4 C 2.69-2.72, 6 Na 2.87-2.90
11 B 0.0330 0.4488 0.2497  2 C 1.63, 1 B 1.77
12 B 0.1692 0.9477 0.7496  2 C 1.63-1.65, 1 B 1.71
13 B 0.2151 0.8485 0.2496  3 C 1.61-1.70
14 B 0.3705 0.3508 0.7495  2 C 1.62-1.65, 1 B 1.71
15 B 0.4067 0.2373 0.2493  2 C 1.62-1.66, 1 B 1.73
16 B 0.5103 0.9479 0.7497  3 B 1.71-1.75
17 B 0.5877 0.7400 0.7499  2 C 1.62-1.63, 1 B 1.75
18 B 0.6185 0.6602 0.2498  2 C 1.62-1.66, 1 B 1.73
19 B 0.6806 0.4488 0.2496  3 B 1.73-1.77
20 B 0.7113 0.3504 0.7497  3 B 1.71-1.75
21 B 0.8029 0.1494 0.7491  1 C 1.55, 2 B 1.73-1.74
22 B 0.8154 0.0493 0.2495  3 C 1.62-1.70
23 B 0.9968 0.5582 0.7498  2 C 1.61-1.63, 1 B 1.75
24 C 0.0804 0.2463 0.2496  3 B 1.63-1.66
25 C 0.1121 0.1490 0.7489  3 B 1.55-1.65
26 C 0.2830 0.6514 0.2497  3 B 1.63-1.66
27 C 0.3139 0.5492 0.7497  3 B 1.61-1.63
28 C 0.4740 0.0430 0.2490  3 B 1.61-1.70
29 C 0.8803 0.8546 0.2499  3 B 1.62-1.70
30 C 0.9143 0.7491 0.7501  3 B 1.62-1.63


Entry 5:
Below is a relaxed V2SeS3 crystal, with properties calculated at the PBE level.

## Properties
SG	C2/m, No. 12
DFT total energy	-6.504	eV/atom

Unit cell a=8.0870 b=8.0870 c=11.1704 alpha=122.04 beta=122.04 gamma=22.98
Closest atoms and distances in Å follow each position.
Atoms (fractional coordinates):
1 V 0.2495 0.2495 0.3757  4 S 2.34-2.37, 2 Se 2.49
2 V 0.2502 0.2502 0.8802  5 S 2.33-2.36, 1 Se 2.52
3 V 0.7498 0.7498 0.1198  5 S 2.33-2.36, 1 Se 2.52
4 V 0.7505 0.7505 0.6243  4 S 2.34-2.37, 2 Se 2.49
5 Se 0.3742 0.3742 0.8045  3 V 2.49-2.52
6 Se 0.6258 0.6258 0.1955  3 V 2.49-2.52
7 S 0.1390 0.1390 0.9552  3 V 2.33-2.36
8 S 0.1417 0.1417 0.4613  3 V 2.34-2.37
9 S 0.3562 0.3562 0.2900  3 V 2.35-2.36
10 S 0.6438 0.6438 0.7100  3 V 2.35-2.36
11 S 0.8583 0.8583 0.5387  3 V 2.34-2.37
12 S 0.8610 0.8610 0.0448  3 V 2.33-2.36


Entry 6:
Below is a relaxed Li2PrAsN crystal, with properties calculated at the PBE level.

## Properties
SG	Cmcm, No. 63
DFT total energy	-5.126	eV/atom

Unit cell a=6.5883 b=6.5883 c=7.4872 alpha=90.00 beta=90.00 gamma=149.70
Closest atoms and distances in Å follow each position.
Atoms (fractional coordinates):
1 Li 0.1544 0.8456 0.5442  1 N 1.99
2 Li 0.1544 0.8456 0.9558  1 N 1.99
3 Li 0.8456 0.1544 0.0442  1 N 1.99
4 Li 0.8456 0.1544 0.4558  1 N 1.99
5 Pr 0.4705 0.5295 0.7500  4 N 2.57
6 Pr 0.5295 0.4705 0.2500  4 N 2.57
7 As 0.2554 0.7446 0.2500  6 Li 2.55-2.58
8 As 0.7446 0.2554 0.7500  6 Li 2.55-2.58
9 N 0.0000 0.0000 0.0000  2 Li 1.99
10 N 0.0000 0.0000 0.5000  2 Li 1.99


In order of appearance, V = 87, 408, 654, 306, 240, 164 Å³ per cell.